No. 1
The following is a DFT calculation (PBE) of crystalline LaBN2O at its relaxed geometry.

Structure (POSCAR):
```
LaBN2O
1.0
-4.266 -1.847 1.660
-1.602 -0.474 -4.645
1.688 -4.051 -0.169
B N O La
1 2 1 1
Direct
0.500 0.500 0.500 B
0.000 0.500 0.000 N
0.500 0.000 0.000 N
0.000 0.000 0.500 O
0.000 0.000 0.000 La
```


No. 2
The following is a DFT calculation (PBE) of crystalline LaBP2N6 at its relaxed geometry.

Structure (POSCAR):
```
LaBP2N6
1.0
-1.797 1.774 -5.005
4.792 -1.514 -4.825
-3.973 -4.939 -2.893
La B P N
2 2 4 12
Direct
0.250 0.852 0.148 La
0.750 0.148 0.852 La
0.250 0.227 0.773 B
0.750 0.773 0.227 B
0.361 0.790 0.629 P
0.139 0.371 0.210 P
0.639 0.210 0.371 P
0.861 0.629 0.790 P
0.232 0.010 0.755 N
0.268 0.245 0.990 N
0.768 0.990 0.245 N
0.732 0.755 0.010 N
0.490 0.780 0.387 N
0.010 0.613 0.220 N
0.510 0.220 0.613 N
0.990 0.387 0.780 N
0.079 0.742 0.660 N
0.421 0.340 0.258 N
0.921 0.258 0.340 N
0.579 0.660 0.742 N
```


No. 3
The following is a DFT calculation (PBE) of crystalline La3PaB2N6 at its relaxed geometry.

Structure (POSCAR):
```
La3PaB2N6
1.0
5.593 0.000 0.000
-2.796 4.843 0.000
0.000 0.000 6.861
La Pa B N
3 1 2 6
Direct
0.333 0.667 0.690 La
0.667 0.333 0.310 La
0.000 0.000 0.000 La
0.000 0.000 0.500 Pa
0.667 0.333 0.731 B
0.333 0.667 0.269 B
0.635 0.817 0.294 N
0.183 0.365 0.294 N
0.183 0.817 0.294 N
0.817 0.635 0.706 N
0.365 0.183 0.706 N
0.817 0.183 0.706 N
```


How do the records compare in uncorrected formation energy? In the order shown, they have 1.48; -0.48; -1.21 eV/atom.